# TlCl5

A PBEsol-optimized structure of TlCl5 (meta-GGA SCAN, Alexandria).

Cell lengths 9.650, 3.984, 10.048 Å; angles 90.00, 104.13, 90.00 degrees
Space group Cm (No. 8)
Asymmetric unit:
Tl1 0.000 0.000 0.000 x2
Cl1 0.042 0.500 0.719 x2
Cl2 0.189 0.500 0.289 x2
Cl3 0.282 0.000 0.930 x2
Cl4 0.353 0.000 0.583 x2
Cl5 0.397 0.500 0.276 x2

Summary:
* E_form (uncorrected): -269 meV per atom
* mass density: 3.4 g cm⁻³
* VASP energy: -18.98 eV/atom



# SiBiTe2

A PBEsol-optimized structure of SiBiTe2 (meta-GGA SCAN, Alexandria).

Cell lengths 7.919, 7.919, 7.173 Å; angles 90.00, 90.00, 90.00 degrees
Space group I-42d (No. 122)
Asymmetric unit:
Si1 0.000 0.000 0.000 x4
Bi1 0.000 0.000 0.500 x4
Te1 0.211 0.250 0.125 x8

Summary:
* E_form (uncorrected): 348 meV per atom
* mass density: 7.3 g cm⁻³
* VASP energy: -40.43 eV/atom



# Co3SnRh

A PBEsol-optimized structure of Co3SnRh (meta-GGA SCAN, Alexandria).

Cell lengths 4.463, 4.463, 4.463 Å; angles 90.00, 90.00, 90.00 degrees
Space group Pm-3m (No. 221)
Asymmetric unit:
Co1 0.000 0.000 0.500 x3
Sn1 0.500 0.500 0.500 x1
Rh1 0.000 0.000 0.000 x1

Summary:
* mass density: 7.4 g cm⁻³
* ΔH_f (0 K): 1.097 eV per atom
* VASP energy: -23.22 eV/atom